A plane-wave DFT calculation with PBE-GGA was carried out for a geometry-optimized Cs3TaTl2Se6 structure.

N(E_F) ... 5.3 states/eV/cell
VASP energy ... -4.1055 eV/atom
Raw formation energy ... -0.77 eV/atom

CIF file:
```
data_Cs3TaTl2Se6
_space_group_name_H-M_alt 'C 1 2/m 1'
_space_group_IT_number 12
_cell_length_a 7.519
_cell_length_b 13.013
_cell_length_c 8.491
_cell_angle_alpha 90.00
_cell_angle_beta 106.77
_cell_angle_gamma 90.00
loop_
_space_group_symop_operation_xyz
'x,y,z'
'-x,-y,-z'
'-x,y,-z'
'x,-y,z'
'x+1/2,y+1/2,z'
'-x+1/2,-y+1/2,-z'
'-x+1/2,y+1/2,-z'
'x+1/2,-y+1/2,z'
loop_
_atom_site_label
_atom_site_type_symbol
_atom_site_fract_x
_atom_site_fract_y
_atom_site_fract_z
Cs1 Cs 0.000 0.000 0.000
Cs2 Cs 0.000 0.320 0.000
Ta1 Ta 0.000 0.500 0.500
Tl1 Tl 0.000 0.164 0.500
Se1 Se 0.205 0.356 0.680
Se2 Se 0.222 0.500 0.312
```